# TaGaFe2

TaGaFe2 after structural relaxation (PBE, the Open Quantum Materials Database).

```
TaGaFe2
1.0
-3.990 -3.170 0.106
4.334 -5.501 -1.358
0.809 -0.822 5.914
Fe Ta Ga
8 4 4
Direct
0.119 0.029 0.309
0.881 0.529 0.691
0.881 0.971 0.691
0.381 0.029 0.809
0.619 0.971 0.191
0.381 0.471 0.809
0.619 0.529 0.191
0.119 0.471 0.309
0.854 0.250 0.979
0.354 0.750 0.521
0.146 0.750 0.021
0.646 0.250 0.479
0.139 0.250 0.603
0.861 0.750 0.397
0.639 0.750 0.897
0.361 0.250 0.103
```

Computed properties:
Magnetic moment (μB/f.u.): 1.995
Space group: Pnma, No. 62
Total energy (eV per atom): -7.858

# TaGa2Fe

TaGa2Fe after structural relaxation (PBE, the Open Quantum Materials Database).

```
TaGa2Fe
1.0
0.359 0.635 4.292
0.953 3.958 1.543
-3.030 2.297 2.122
Ta Ga Fe
1 2 1
Direct
0.500 0.500 0.500
0.250 0.250 0.250
0.000 0.000 0.000
0.750 0.750 0.750
```

Computed properties:
Magnetic moment (μB/f.u.): 0.721
Space group: F-43m, No. 216
Total energy (eV per atom): -6.493

# TaGaFe2

TaGaFe2 after structural relaxation (PBE, the Open Quantum Materials Database).

```
TaGaFe2
1.0
-4.087 -0.091 1.265
-2.291 3.613 0.095
-3.135 0.620 -2.846
Ta Fe Ga
1 2 1
Direct
0.250 0.250 0.250
0.000 0.000 0.000
0.750 0.750 0.750
0.500 0.500 0.500
```

Computed properties:
Magnetic moment (μB/f.u.): 4.083
Space group: F-43m, No. 216
Total energy (eV per atom): -7.887

# TaGaFeW

TaGaFeW after structural relaxation (PBE, the Open Quantum Materials Database).

```
TaGaFeW
1.0
0.000 3.112 3.112
3.112 0.000 3.112
3.112 3.112 0.000
Ta Fe Ga W
1 1 1 1
Direct
0.500 0.500 0.500
0.750 0.750 0.750
0.000 0.000 0.000
0.250 0.250 0.250
```

Computed properties:
Distance to the lowest polymorph of the same formula (meV per atom): 0
Magnetic moment (μB/f.u.): 1.900
Space group: F-43m, No. 216
Total energy (eV per atom): -8.888

# ZrTaGaFe

ZrTaGaFe after structural relaxation (PBE, the Open Quantum Materials Database).

```
ZrTaGaFe
1.0
-3.729 1.015 2.369
-1.578 4.249 0.032
-3.855 1.002 -2.162
Ga Zr Fe Ta
1 1 1 1
Direct
0.000 0.000 0.000
0.250 0.250 0.250
0.750 0.750 0.750
0.500 0.500 0.500
```

Computed properties:
Distance to the lowest polymorph of the same formula (meV per atom): 0
Magnetic moment (μB/f.u.): 1.811
Space group: F-43m, No. 216
Total energy (eV per atom): -7.802

# TbGa2Fe

TbGa2Fe after structural relaxation (PBE, the Open Quantum Materials Database).

```
TbGa2Fe
1.0
-8.935 -1.938 -0.576
8.601 0.205 -3.147
0.679 -3.612 1.620
Fe Ga Tb
2 4 2
Direct
0.075 0.925 0.000
0.925 0.075 0.000
0.000 0.000 0.500
0.791 0.209 0.000
0.209 0.791 0.000
0.500 0.500 0.000
0.358 0.642 0.500
0.642 0.358 0.500
```

Computed properties:
Magnetic moment (μB/f.u.): 1.477
Space group: Cmmm, No. 65
Total energy (eV per atom): -5.161

# TbTmGa2Fe4

TbTmGa2Fe4 after structural relaxation (PBE, the Open Quantum Materials Database).

```
TbTmGa2Fe4
1.0
-1.449 -1.661 3.257
1.878 -4.350 -1.383
5.780 1.443 3.308
Fe Tm Ga Tb
4 1 2 1
Direct
0.500 0.000 0.597
0.500 0.500 0.406
0.000 0.749 0.501
0.000 0.251 0.501
0.500 0.500 0.812
0.000 0.500 0.166
0.000 0.000 0.833
0.500 0.000 0.184
```

Computed properties:
Magnetic moment (μB/f.u.): 7.258
Space group: Pmm2, No. 25
Total energy (eV per atom): -6.388

# GaFe2Tc

GaFe2Tc after structural relaxation (PBE, the Open Quantum Materials Database).

```
GaFe2Tc
1.0
2.458 -1.616 2.956
-1.606 -2.547 2.886
0.932 -4.065 -0.054
Fe Ga Tc
2 1 1
Direct
0.000 0.000 0.000
0.750 0.750 0.750
0.500 0.500 0.500
0.250 0.250 0.250
```

Computed properties:
Magnetic moment (μB/f.u.): 3.834
Space group: F-43m, No. 216
Total energy (eV per atom): -7.518